Compound: Y2AgPPt
Source: Alexandria
Functional: PBEsol
Structure: relaxed

a = 5.3712 Å, b = 5.3712 Å, c = 4.3015 Å
α = 90.00°, β = 90.00°, γ = 90.00°
Element x y z (fractional)
Y  0.0000  0.5000  0.0000
Y  0.5000  0.0000  0.0000
Ag  0.0000  0.0000  0.0000
P  0.0000  0.0000  0.5000
Pt  0.5000  0.5000  0.5000

Computed properties:
DFT formation energy: 0.24 eV per atom
ρ: 6.8 g cm⁻³
Magnetic moment: 0.000 μB per cell
Fermi-level density of states: 3.743 states/eV/cell